No. 1
Tb2Pm6Tl | PBE | optimized geometry

Geometry as POSCAR:
```
Tb2Pm6Tl
1.0
6.236 -0.989 0.129
-1.707 10.175 6.088
-3.051 2.302 10.531
Tb Pm Tl
4 12 2
Cartesian
-3.119 8.950 13.291
4.597 2.538 3.457
1.342 2.381 5.023
0.136 9.107 11.726
-1.446 5.989 12.155
2.924 5.499 4.593
3.409 9.263 10.020
1.710 6.218 10.605
-0.233 5.270 6.143
2.566 4.172 7.895
2.251 0.270 2.258
-0.773 11.218 14.490
-1.932 2.225 6.728
2.269 2.739 11.159
-1.088 7.316 8.853
-0.791 8.749 5.589
2.136 7.543 7.285
-0.658 3.945 9.463
```

energy relative to the elements: -0.064 eV/atom
total magnetization: 0.000 μB per formula unit
energy relative to the lowest polymorph listed for this composition: 0 meV per atom
crystal system: monoclinic
space-group type: No. 15

No. 2
Cd2TeW | PBE | optimized geometry

Geometry as POSCAR:
```
Cd2TeW
1.0
-1.142 9.758 -5.559
-2.228 7.925 -7.724
-4.071 8.954 -5.540
Cd W Te
2 1 1
Cartesian
-0.090 0.321 -0.227
-3.631 12.997 -9.184
-5.581 19.978 -14.117
-1.860 6.659 -4.706
```

uncorrected formation energy: 0.589 eV/atom
total magnetization: 0.000 μB per formula unit
crystal system: trigonal
space-group type: No. 166

No. 3
AlCoCu2 | PBE | optimized geometry

Geometry as POSCAR:
```
AlCoCu2
1.0
-1.826 1.861 -0.134
-1.766 -1.527 2.858
2.701 2.882 3.209
Al Cu Co
1 2 1
Cartesian
-1.121 0.887 2.164
2.685 2.865 3.191
1.366 1.458 1.623
0.230 2.328 3.769
```

energy relative to the elements: -0.044 eV/atom
total magnetization: 1.384 μB per formula unit
crystal system: orthorhombic
space-group type: No. 47

No. 4
Sr2LaSc | PBE | optimized geometry

Geometry as POSCAR:
```
Sr2LaSc
1.0
3.689 -3.869 2.874
-0.069 -0.324 6.061
-2.291 -4.902 2.751
Sr Sc La
2 1 1
Cartesian
0.997 -6.822 8.765
0.332 -2.274 2.922
0.000 0.000 0.000
0.665 -4.548 5.843
```

energy relative to the elements: 0.322 eV/atom
total magnetization: 0.000 μB per formula unit
energy relative to the lowest polymorph listed for this composition: 191 meV per atom
crystal system: cubic
space-group type: No. 225